P) Entry from Alexandria: an optimized crystal structure of NaCdP2Cl (PBE).

Properties
Magnetization (μB per atom): 0.324

extended XYZ file:
```
5
Lattice="4.978 0.000 0.000 0.000 4.978 0.000 0.000 0.000 5.832" Properties=species:S:1:pos:R:3 pbc="T T T"
Na 0.000 0.000 0.000
Cd 2.489 2.489 2.916
P 0.000 2.489 2.916
P 2.489 0.000 2.916
Cl 2.489 2.489 0.000
```

=====

Q) Entry from Alexandria: an optimized crystal structure of NaCdP2Cl (PBE).

Properties
Magnetization (μB per atom): 0.391

extended XYZ file:
```
5
Lattice="5.121 0.000 0.000 0.000 5.121 0.000 0.000 0.000 4.940" Properties=species:S:1:pos:R:3 pbc="T T T"
Na 0.000 0.000 0.000
Cd 2.561 2.561 2.470
P 0.000 2.561 0.000
P 2.561 0.000 0.000
Cl 0.000 0.000 2.470
```

=====

Relative energies, meV/atom: P) 0; Q) 489.

=====

P) Entry from Alexandria: an optimized crystal structure of NaCdS2Cl (PBE).

Properties
Magnetization (μB per atom): 0.254

extended XYZ file:
```
5
Lattice="4.989 0.000 0.000 0.000 4.989 0.000 0.000 0.000 5.575" Properties=species:S:1:pos:R:3 pbc="T T T"
Na 0.000 0.000 0.000
Cd 2.494 2.494 2.787
S 0.000 2.494 2.787
S 2.494 0.000 2.787
Cl 2.494 2.494 0.000
```

=====

Q) Entry from Alexandria: an optimized crystal structure of NaCdS2Cl (PBE).

Properties
Magnetization (μB per atom): 0.396

extended XYZ file:
```
5
Lattice="5.098 0.000 0.000 0.000 5.098 0.000 0.000 0.000 4.903" Properties=species:S:1:pos:R:3 pbc="T T T"
Na 0.000 0.000 0.000
Cd 2.549 2.549 2.451
S 0.000 2.549 0.000
S 2.549 0.000 0.000
Cl 0.000 0.000 2.451
```

=====

Relative energies, meV/atom: P) 0; Q) 551.